Material: SrMn2Si
Method: DFT, PBE
State: relaxed

DFT total energy	-0.21402	Ha/atom
E_form (uncorrected)	2.1	eV/f.u.
space group	I-4m2, No. 119

Unit cell a=4.8502 b=4.8502 c=6.9040 alpha=90.00 beta=90.00 gamma=90.00
With the nearest neighbours (Å) after each atom.
Fractional positions:
Sr 0.0000 0.0000 0.0000  4 Mn 2.98, 4 Si 2.98
Sr 0.5000 0.5000 0.5000  4 Mn 2.98, 4 Si 2.98
Mn 0.0000 0.0000 0.5000  4 Mn 2.98, 4 Si 2.98
Mn 0.0000 0.5000 0.7500  4 Mn 2.98, 4 Sr 2.98
Mn 0.5000 0.0000 0.2500  4 Mn 2.98, 4 Sr 2.98
Mn 0.5000 0.5000 0.0000  4 Mn 2.98, 4 Si 2.98
Si 0.0000 0.5000 0.2500  4 Mn 2.98, 4 Sr 2.98
Si 0.5000 0.0000 0.7500  4 Mn 2.98, 4 Sr 2.98